DFT (PBE) results for crystalline PmScAlRu at its relaxed geometry.

Cell: 6.9100 6.9100 6.9100 Å, 90.00 90.00 90.00°
Atoms (fractional coordinates):
1 Pm 0.0000 0.0000 0.0000
2 Pm 0.0000 0.5000 0.5000
3 Pm 0.5000 0.0000 0.5000
4 Pm 0.5000 0.5000 0.0000
5 Sc 0.0000 0.0000 0.5000
6 Sc 0.0000 0.5000 0.0000
7 Sc 0.5000 0.0000 0.0000
8 Sc 0.5000 0.5000 0.5000
9 Al 0.2500 0.2500 0.2500
10 Al 0.2500 0.7500 0.7500
11 Al 0.7500 0.2500 0.7500
12 Al 0.7500 0.7500 0.2500
13 Ru 0.2500 0.2500 0.7500
14 Ru 0.2500 0.7500 0.2500
15 Ru 0.7500 0.2500 0.2500
16 Ru 0.7500 0.7500 0.7500

Output
E_tot   -6.33 eV/atom
ΔH_f (0 K)   -0.306 eV/atom
Fermi-level density of states   0.653 states/eV per atom

***

DFT (PBE) results for crystalline NdTi2 at its relaxed geometry.

Cell: 5.9109 5.9109 5.9109 Å, 60.00 60.00 60.00°
Atoms (fractional coordinates):
1 Nd 0.1250 0.1250 0.1250
2 Nd 0.8750 0.8750 0.8750
3 Ti 0.0000 0.5000 0.5000
4 Ti 0.5000 0.0000 0.5000
5 Ti 0.5000 0.5000 0.0000
6 Ti 0.5000 0.5000 0.5000

Output
E_tot   -6.53 eV/atom
ΔH_f (0 K)   0.326 eV/atom
Fermi-level density of states   1.510 states/eV per atom

***

DFT (PBE) results for crystalline La2Pm2Nd7 at its relaxed geometry.

Cell: 8.2870 8.2870 6.2776 Å, 105.98 105.98 91.69°
Atoms (fractional coordinates):
1 La 0.0950 0.0950 0.3116
2 La 0.9050 0.9050 0.6884
3 Pm 0.2866 0.7134 0.0000
4 Pm 0.7134 0.2866 0.0000
5 Nd 0.0844 0.5685 0.3252
6 Nd 0.2675 0.2675 0.9264
7 Nd 0.4315 0.9156 0.6748
8 Nd 0.5000 0.5000 0.5000
9 Nd 0.5685 0.0844 0.3252
10 Nd 0.7325 0.7325 0.0736
11 Nd 0.9156 0.4315 0.6748

Output
ΔE to the lowest computed polymorph   0 meV/atom
E_tot   -4.67 eV/atom
ΔH_f (0 K)   0.127 eV/atom
Fermi-level density of states   1.596 states/eV per atom